# Y3ErTm4 | the Alexandria database | PBE | relaxed
# - excess energy over the best structure of this formula in the dataset (meV per atom) = 0
data_Y3ErTm4
_chemical_formula_sum 'Y6 Er2 Tm8'
_cell_length_a 11.143
_cell_length_b 7.207
_cell_length_c 6.228
_cell_angle_alpha 90.00
_cell_angle_beta 90.00
_cell_angle_gamma 90.00
_space_group_name_H-M_alt 'P m n 21'
_space_group_IT_number 31
loop_
_space_group_symop_operation_xyz
'x,y,z'
'-x+1/2,-y,z+1/2'
'-x,y,z'
'x+1/2,-y,z+1/2'
loop_
_atom_site_label
_atom_site_type_symbol
_atom_site_fract_x
_atom_site_fract_y
_atom_site_fract_z
Y1 Y 0.000 0.127 0.000
Y2 Y 0.250 0.127 0.336
Er1 Er 0.000 0.873 0.500
Tm1 Tm 0.000 0.378 0.504
Tm2 Tm 0.000 0.623 0.003
Tm3 Tm 0.249 0.623 0.335